Entry from Alexandria: a relaxed Rb2NbPBr6 crystal (GGA-PBE).

Its total DFT energy (no corrections) is -3.5226 eV/atom. Its total magnetization is 2.00 μB per formula unit.

Lattice parameters (Å, degrees): 8.211 8.211 8.211 125.94 125.94 79.99
Element x y z (fractional)
1 Rb 0.250 0.750 0.500
2 Rb 0.750 0.250 0.500
3 Nb 0.000 0.000 0.000
4 P 0.500 0.500 0.000
5 Br 0.212 0.212 0.000
6 Br 0.252 0.252 0.505
7 Br 0.252 0.748 0.000
8 Br 0.748 0.252 0.000
9 Br 0.748 0.748 0.495
10 Br 0.788 0.788 0.000

=====

Entry from Alexandria: a relaxed Ca2HoSnSe4 crystal (GGA-PBE).

Its total DFT energy (no corrections) is -4.8050 eV/atom. Its total magnetization is 0.00 μB per formula unit.

Lattice parameters (Å, degrees): 7.241 4.183 7.327 90.00 109.40 90.00
Element x y z (fractional)
1 Ca 0.000 0.000 0.000
2 Ca 0.000 0.500 0.500
3 Ho 0.500 0.000 0.500
4 Sn 0.500 0.500 0.000
5 Se 0.251 0.000 0.741
6 Se 0.255 0.500 0.258
7 Se 0.745 0.500 0.742
8 Se 0.749 0.000 0.259

=====

Entry from Alexandria: a relaxed HoLuGaRh crystal (GGA-PBE).

As for the energy relative to the elements: -0.725 eV/atom. Its total DFT energy (no corrections) is -5.5939 eV/atom. Its total magnetization is 0.00 μB per formula unit.

Lattice parameters (Å, degrees): 4.898 4.898 4.898 60.00 60.00 60.00
Element x y z (fractional)
1 Ho 0.000 0.000 0.000
2 Lu 0.500 0.500 0.500
3 Ga 0.250 0.250 0.250
4 Rh 0.750 0.750 0.750

=====

Entry from Alexandria: a relaxed CrRe2TcI crystal (GGA-PBE).

Its total DFT energy (no corrections) is -7.1490 eV/atom. Its total magnetization is 1.03 μB per formula unit.

Lattice parameters (Å, degrees): 4.450 4.450 4.805 90.00 90.00 90.00
Element x y z (fractional)
1 Cr 0.000 0.000 0.000
2 Re 0.000 0.500 0.000
3 Re 0.500 0.000 0.000
4 Tc 0.500 0.500 0.500
5 I 0.000 0.000 0.500